DFT (PBE-GGA) results for crystalline BaGa3IrPd at its relaxed geometry.

Calculated values
crystal system = orthorhombic
energy relative to the elements = -0.49 eV/atom
space-group type = Cmcm, No. 63

Cell: 6.9353 6.7825 6.8784 Å, 119.54 90.00 90.00°
Element x y z (fractional)
Ir 0.2500 0.0763 0.1525
Ga 0.5000 0.2298 0.0000
Ir 0.7500 0.9237 0.8475
Ba 0.2500 0.7550 0.5100
Ga 0.2500 0.2707 0.5414
Pd 0.7500 0.5309 0.0617
Ga 0.5000 0.7702 0.0000
Pd 0.2500 0.4691 0.9383
Ga 0.0000 0.7702 0.0000
Ga 0.7500 0.7293 0.4586
Ga 0.0000 0.2298 0.0000
Ba 0.7500 0.2450 0.4900

DFT (PBE-GGA) results for crystalline BaGa3IrPt at its relaxed geometry.

Calculated values
crystal system = orthorhombic
energy relative to the elements = -0.54 eV/atom
space-group type = Cmcm, No. 63

Cell: 6.3452 7.4403 7.0353 Å, 121.92 90.00 90.00°
Element x y z (fractional)
Ga 0.0000 0.7491 0.0000
Ga 0.5000 0.2509 0.0000
Pt 0.7500 0.5619 0.1239
Ga 0.0000 0.2509 0.0000
Ir 0.2500 0.0470 0.0940
Ga 0.5000 0.7491 0.0000
Pt 0.2500 0.4381 0.8761
Ga 0.7500 0.7597 0.5194
Ba 0.2500 0.7434 0.4868
Ga 0.2500 0.2403 0.4806
Ir 0.7500 0.9530 0.9060
Ba 0.7500 0.2566 0.5132

DFT (PBE-GGA) results for crystalline Rb2BaGaIr at its relaxed geometry.

Calculated values
crystal system = tetragonal
energy relative to the elements = 0.94 eV/atom
space-group type = P4/mmm, No. 123

Cell: 7.2697 5.2569 7.2697 Å, 90.00 90.00 90.00°
Element x y z (fractional)
Rb 0.0000 0.0000 0.5000
Rb 0.5000 0.0000 0.0000
Ba 0.0000 0.0000 0.0000
Ir 0.0000 0.5000 0.0000
Ga 0.5000 0.5000 0.5000

DFT (PBE-GGA) results for crystalline RbBa2GaIr at its relaxed geometry.

Calculated values
crystal system = tetragonal
energy relative to the elements = -0.10 eV/atom
space-group type = P4/mmm, No. 123

Cell: 6.2474 6.2474 5.0263 Å, 90.00 90.00 90.00°
Element x y z (fractional)
Ba 0.5000 0.0000 0.0000
Ir 0.0000 0.0000 0.0000
Rb 0.5000 0.5000 0.5000
Ga 0.0000 0.0000 0.5000
Ba 0.0000 0.5000 0.0000

DFT (PBE-GGA) results for crystalline BaGa3IrRh at its relaxed geometry.

Calculated values
crystal system = orthorhombic
energy relative to the elements = -0.50 eV/atom
space-group type = Cmcm, No. 63

Cell: 6.2492 7.5668 6.9049 Å, 123.22 90.00 90.00°
Element x y z (fractional)
Ga 0.0000 0.7473 0.0000
Ir 0.7500 0.5568 0.1137
Ga 0.5000 0.2527 0.0000
Ba 0.2500 0.7426 0.4852
Ga 0.2500 0.2397 0.4793
Ba 0.7500 0.2574 0.5148
Ga 0.0000 0.2527 0.0000
Rh 0.2500 0.0381 0.0763
Rh 0.7500 0.9619 0.9237
Ir 0.2500 0.4432 0.8863
Ga 0.5000 0.7473 0.0000
Ga 0.7500 0.7603 0.5207

DFT (PBE-GGA) results for crystalline BaGa4IrRh2 at its relaxed geometry.

Calculated values
crystal system = trigonal
energy relative to the elements = -0.55 eV/atom
space-group type = R-3m, No. 166

Cell: 4.2711 4.2711 10.0667 Å, 77.75 77.75 60.00°
Element x y z (fractional)
Ba 0.0000 0.0000 0.0000
Ga 0.4113 0.4113 0.7662
Ir 0.5000 0.5000 0.5000
Ga 0.5887 0.5887 0.2338
Rh 0.2261 0.2261 0.3217
Rh 0.7739 0.7739 0.6783
Ga 0.8658 0.8658 0.4027
Ga 0.1342 0.1342 0.5973

DFT (PBE-GGA) results for crystalline Ba2Ga6IrRh at its relaxed geometry.

Calculated values
crystal system = monoclinic
energy relative to the elements = -0.53 eV/atom
space-group type = C2/m, No. 12

Cell: 6.8934 6.8911 6.8950 Å, 64.27 55.12 89.69°
Element x y z (fractional)
Ga 0.7041 0.2019 0.9955
Ga 0.1964 0.2012 0.5023
Ga 0.2495 0.1713 0.0781
Ga 0.2959 0.7981 0.0045
Rh 0.0000 0.0000 0.0000
Ga 0.8036 0.7988 0.4977
Ga 0.7505 0.8287 0.9219
Ba 0.2521 0.6625 0.5892
Ir 0.5000 0.5000 0.0000
Ba 0.7479 0.3375 0.4108

DFT (PBE-GGA) results for crystalline BaGaSi2Ir at its relaxed geometry.

Calculated values
formation energy from raw total energies = 1.0358 eV per atom
crystal system = tetragonal
space-group type = P4/mmm, No. 123

Cell: 4.6802 5.8030 4.6802 Å, 90.00 90.00 90.00°
Element x y z (fractional)
Si 0.5000 0.0000 0.0000
Ba 0.0000 0.5000 0.0000
Si 0.0000 0.0000 0.5000
Ga 0.0000 0.0000 0.0000
Ir 0.5000 0.5000 0.5000